# 1
Below is a relaxed structure of RbBaPd2Pb4, with properties calculated at the GGA-PBE level.

Geometry as POSCAR:
```
RbBaPd2Pb4
1.0
-3.400 -0.465 -3.129
5.618 -0.666 -6.006
1.814 -5.938 2.355
Ba Pb Pd Rb
1 4 2 1
Direct
0.554 0.000 0.109
0.159 0.303 0.318
0.159 0.697 0.318
0.842 0.197 0.684
0.842 0.803 0.684
0.718 0.500 0.436
0.280 0.000 0.559
0.446 0.500 0.891
```

Summary:
DFT total energy (eV per atom): -3.90
ρ (g/cm3): 8.8
Space-group type: Amm2 (38)

***

# 2
Below is a relaxed structure of TbScNi, with properties calculated at the GGA-PBE level.

Geometry as POSCAR:
```
TbScNi
1.0
0.000 3.241 3.241
3.241 0.000 3.241
3.241 3.241 0.000
Ni Sc Tb
1 1 1
Direct
0.000 0.000 0.000
0.250 0.250 0.250
0.750 0.750 0.750
```

Summary:
ρ (g/cm3): 6.4
E above lowest polymorph (eV/atom): 0.000
Energy of formation (kcal/mol of atoms): -3.521
Space-group type: F-43m (216)

***

# 3
Below is a relaxed structure of CsNdAs, with properties calculated at the GGA-PBE level.

Geometry as POSCAR:
```
CsNdAs
1.0
5.283 1.149 0.146
1.911 3.478 3.675
3.046 -1.794 4.094
As Cs Nd
1 1 1
Direct
0.000 0.000 0.000
0.250 0.250 0.250
0.750 0.750 0.750
```

Summary:
DFT total energy (eV per atom): -3.58
ρ (g/cm3): 5.2
Space-group type: F-43m (216)